# 1
VASP calculation (PBE-GGA) on MgSiTeO6 after structural relaxation.

The magnetic moment comes out at 0.0000 μB/atom. For the uncorrected formation energy, the calculation gives -1.944 eV per atom.

abc: 4.9065 4.9065 9.1906
angles: 90.00 90.00 120.00
Space group P-31c (No. 163)
Asymmetric unit:
1 Mg 0.0000 0.0000 0.0000
2 Si 0.3333 0.6667 0.2500
3 Te 0.3333 0.6667 0.7500
4 O 0.0209 0.3717 0.1381

---

# 2
VASP calculation (PBE-GGA) on MgTiSi2O6 after structural relaxation.

The magnetic moment comes out at 0.1966 μB/atom. For the uncorrected formation energy, the calculation gives -2.616 eV per atom.

abc: 9.685 9.114 4.994
angles: 90.00 101.45 90.00
Space group C2/c (No. 15)
Asymmetric unit:
1 Mg 0.000 0.223 0.250
2 Ti 0.000 0.418 0.750
3 Si 0.198 0.093 0.784
4 O 0.116 0.231 0.631
5 O 0.129 0.395 0.150
6 O 0.149 0.056 0.084